[1]
# CdPRuO2

A geometry-optimized CdPRuO2 structure (GGA-PBE, Alexandria via LeMat-Bulk).

Geometry as CIF:
```
data_CdPRuO2
_cell_length_a 3.985
_cell_length_b 3.985
_cell_length_c 5.346
_cell_angle_alpha 90.00
_cell_angle_beta 90.00
_cell_angle_gamma 90.00
_symmetry_space_group_name_H-M 'P 4/m m m'
_symmetry_Int_Tables_number 123
_symmetry_space_group_name_Hall '-P 4 2'
loop_
_atom_site_label
_atom_site_type_symbol
_atom_site_fract_x
_atom_site_fract_y
_atom_site_fract_z
_atom_site_occupancy
Cd1 Cd 0.000 0.000 0.000 1
P1 P 0.000 0.000 0.500 1
Ru1 Ru 0.500 0.500 0.500 1
O1 O 0.000 0.500 0.000 1
```

---

[2]
# CdPSO2

A geometry-optimized CdPSO2 structure (GGA-PBE, Alexandria via LeMat-Bulk).

Geometry as CIF:
```
data_CdPSO2
_cell_length_a 3.728
_cell_length_b 3.728
_cell_length_c 4.774
_cell_angle_alpha 90.00
_cell_angle_beta 90.00
_cell_angle_gamma 90.00
_symmetry_space_group_name_H-M 'P 4/m m m'
_symmetry_Int_Tables_number 123
_symmetry_space_group_name_Hall '-P 4 2'
loop_
_atom_site_label
_atom_site_type_symbol
_atom_site_fract_x
_atom_site_fract_y
_atom_site_fract_z
_atom_site_occupancy
Cd1 Cd 0.000 0.000 0.000 1
P1 P 0.500 0.500 0.000 1
S1 S 0.500 0.500 0.500 1
O1 O 0.000 0.500 0.500 1
```

---

[3]
# CdPSO2

A geometry-optimized CdPSO2 structure (GGA-PBE, Alexandria via LeMat-Bulk).

Geometry as CIF:
```
data_CdPSO2
_cell_length_a 3.933
_cell_length_b 3.933
_cell_length_c 6.976
_cell_angle_alpha 90.00
_cell_angle_beta 90.00
_cell_angle_gamma 90.00
_symmetry_space_group_name_H-M 'P 4/m m m'
_symmetry_Int_Tables_number 123
_symmetry_space_group_name_Hall '-P 4 2'
loop_
_atom_site_label
_atom_site_type_symbol
_atom_site_fract_x
_atom_site_fract_y
_atom_site_fract_z
_atom_site_occupancy
Cd1 Cd 0.000 0.000 0.000 1
P1 P 0.000 0.000 0.500 1
S1 S 0.500 0.500 0.500 1
O1 O 0.000 0.500 0.000 1
```

---

[4]
# CdPS2O

A geometry-optimized CdPS2O structure (GGA-PBE, Alexandria via LeMat-Bulk).

Geometry as CIF:
```
data_CdPS2O
_cell_length_a 4.857
_cell_length_b 4.857
_cell_length_c 5.176
_cell_angle_alpha 90.00
_cell_angle_beta 90.00
_cell_angle_gamma 90.00
_symmetry_space_group_name_H-M 'P 4/m m m'
_symmetry_Int_Tables_number 123
_symmetry_space_group_name_Hall '-P 4 2'
loop_
_atom_site_label
_atom_site_type_symbol
_atom_site_fract_x
_atom_site_fract_y
_atom_site_fract_z
_atom_site_occupancy
Cd1 Cd 0.000 0.000 0.000 1
P1 P 0.000 0.000 0.500 1
S1 S 0.000 0.500 0.000 1
O1 O 0.500 0.500 0.500 1
```

---

[5]
# CdPS2O

A geometry-optimized CdPS2O structure (GGA-PBE, Alexandria via LeMat-Bulk).

Geometry as CIF:
```
data_CdPS2O
_cell_length_a 4.911
_cell_length_b 4.911
_cell_length_c 3.600
_cell_angle_alpha 90.00
_cell_angle_beta 90.00
_cell_angle_gamma 90.00
_symmetry_space_group_name_H-M 'P 4/m m m'
_symmetry_Int_Tables_number 123
_symmetry_space_group_name_Hall '-P 4 2'
loop_
_atom_site_label
_atom_site_type_symbol
_atom_site_fract_x
_atom_site_fract_y
_atom_site_fract_z
_atom_site_occupancy
Cd1 Cd 0.000 0.000 0.000 1
P1 P 0.500 0.500 0.000 1
S1 S 0.000 0.500 0.500 1
O1 O 0.500 0.500 0.500 1
```

---

[6]
# CdSbP2O

A geometry-optimized CdSbP2O structure (GGA-PBE, Alexandria via LeMat-Bulk).

Geometry as CIF:
```
data_CdSbP2O
_cell_length_a 5.172
_cell_length_b 5.172
_cell_length_c 3.911
_cell_angle_alpha 90.00
_cell_angle_beta 90.00
_cell_angle_gamma 90.00
_symmetry_space_group_name_H-M 'P 4/m m m'
_symmetry_Int_Tables_number 123
_symmetry_space_group_name_Hall '-P 4 2'
loop_
_atom_site_label
_atom_site_type_symbol
_atom_site_fract_x
_atom_site_fract_y
_atom_site_fract_z
_atom_site_occupancy
Cd1 Cd 0.000 0.000 0.000 1
Sb1 Sb 0.500 0.500 0.500 1
P1 P 0.000 0.500 0.500 1
O1 O 0.500 0.500 0.000 1
```

---

[7]
# CdSbP2O

A geometry-optimized CdSbP2O structure (GGA-PBE, Alexandria via LeMat-Bulk).

Geometry as CIF:
```
data_CdSbP2O
_cell_length_a 5.057
_cell_length_b 5.057
_cell_length_c 4.016
_cell_angle_alpha 90.00
_cell_angle_beta 90.00
_cell_angle_gamma 90.00
_symmetry_space_group_name_H-M 'P 4/m m m'
_symmetry_Int_Tables_number 123
_symmetry_space_group_name_Hall '-P 4 2'
loop_
_atom_site_label
_atom_site_type_symbol
_atom_site_fract_x
_atom_site_fract_y
_atom_site_fract_z
_atom_site_occupancy
Cd1 Cd 0.000 0.000 0.000 1
Sb1 Sb 0.500 0.500 0.500 1
P1 P 0.000 0.500 0.000 1
O1 O 0.000 0.000 0.500 1
```

---

[8]
# ScCdP2O8

A geometry-optimized ScCdP2O8 structure (GGA-PBE, Alexandria via LeMat-Bulk).

Geometry as CIF:
```
data_ScCdP2O8
_cell_length_a 5.3012
_cell_length_b 5.3012
_cell_length_c 6.5038
_cell_angle_alpha 90.00
_cell_angle_beta 90.00
_cell_angle_gamma 120.00
_symmetry_space_group_name_H-M 'P -3 m 1'
_symmetry_Int_Tables_number 164
_symmetry_space_group_name_Hall '-P 3 2"'
loop_
_atom_site_label
_atom_site_type_symbol
_atom_site_fract_x
_atom_site_fract_y
_atom_site_fract_z
_atom_site_occupancy
Sc1 Sc 0.0000 0.0000 0.0000 1
Cd1 Cd 0.0000 0.0000 0.5000 1
P1 P 0.3333 0.6667 0.7143 1
O1 O 0.1736 0.3471 0.7921 1
O2 O 0.3333 0.6667 0.4779 1
```

---

[9]
# ScCdPO2

A geometry-optimized ScCdPO2 structure (GGA-PBE, Alexandria via LeMat-Bulk).

Geometry as CIF:
```
data_ScCdPO2
_cell_length_a 4.096
_cell_length_b 4.096
_cell_length_c 4.988
_cell_angle_alpha 90.00
_cell_angle_beta 90.00
_cell_angle_gamma 90.00
_symmetry_space_group_name_H-M 'P 4/m m m'
_symmetry_Int_Tables_number 123
_symmetry_space_group_name_Hall '-P 4 2'
loop_
_atom_site_label
_atom_site_type_symbol
_atom_site_fract_x
_atom_site_fract_y
_atom_site_fract_z
_atom_site_occupancy
Sc1 Sc 0.000 0.000 0.000 1
Cd1 Cd 0.500 0.500 0.500 1
P1 P 0.500 0.500 0.000 1
O1 O 0.000 0.500 0.500 1
```

---

[10]
# ScCdPO2

A geometry-optimized ScCdPO2 structure (GGA-PBE, Alexandria via LeMat-Bulk).

Geometry as CIF:
```
data_ScCdPO2
_cell_length_a 3.990
_cell_length_b 3.990
_cell_length_c 5.640
_cell_angle_alpha 90.00
_cell_angle_beta 90.00
_cell_angle_gamma 90.00
_symmetry_space_group_name_H-M 'P 4/m m m'
_symmetry_Int_Tables_number 123
_symmetry_space_group_name_Hall '-P 4 2'
loop_
_atom_site_label
_atom_site_type_symbol
_atom_site_fract_x
_atom_site_fract_y
_atom_site_fract_z
_atom_site_occupancy
Sc1 Sc 0.000 0.000 0.000 1
Cd1 Cd 0.500 0.500 0.500 1
P1 P 0.000 0.000 0.500 1
O1 O 0.000 0.500 0.000 1
```

---

[11]
# CdP2SeO

A geometry-optimized CdP2SeO structure (GGA-PBE, Alexandria via LeMat-Bulk).

Geometry as CIF:
```
data_CdP2SeO
_cell_length_a 5.030
_cell_length_b 5.030
_cell_length_c 4.011
_cell_angle_alpha 90.00
_cell_angle_beta 90.00
_cell_angle_gamma 90.00
_symmetry_space_group_name_H-M 'P 4/m m m'
_symmetry_Int_Tables_number 123
_symmetry_space_group_name_Hall '-P 4 2'
loop_
_atom_site_label
_atom_site_type_symbol
_atom_site_fract_x
_atom_site_fract_y
_atom_site_fract_z
_atom_site_occupancy
Cd1 Cd 0.000 0.000 0.000 1
P1 P 0.000 0.500 0.000 1
Se1 Se 0.500 0.500 0.500 1
O1 O 0.000 0.000 0.500 1
```

---

[12]
# CdPSeO2

A geometry-optimized CdPSeO2 structure (GGA-PBE, Alexandria via LeMat-Bulk).

Geometry as CIF:
```
data_CdPSeO2
_cell_length_a 3.843
_cell_length_b 3.843
_cell_length_c 5.104
_cell_angle_alpha 90.00
_cell_angle_beta 90.00
_cell_angle_gamma 90.00
_symmetry_space_group_name_H-M 'P 4/m m m'
_symmetry_Int_Tables_number 123
_symmetry_space_group_name_Hall '-P 4 2'
loop_
_atom_site_label
_atom_site_type_symbol
_atom_site_fract_x
_atom_site_fract_y
_atom_site_fract_z
_atom_site_occupancy
Cd1 Cd 0.000 0.000 0.000 1
P1 P 0.500 0.500 0.000 1
Se1 Se 0.500 0.500 0.500 1
O1 O 0.000 0.500 0.500 1
```

---

Number 1: uncorrected energy -20.7 eV/cell, raw formation energy 0.96 eV per atom. Number 2: uncorrected energy -19.9 eV/cell, raw formation energy 0.10 eV per atom. Number 3: uncorrected energy -16.6 eV/cell, raw formation energy 0.75 eV per atom. Number 4: uncorrected energy -11.3 eV/cell, raw formation energy 1.65 eV per atom. Number 5: uncorrected energy -16.7 eV/cell, raw formation energy 0.56 eV per atom. Number 6: uncorrected energy -19.2 eV/cell, raw formation energy 0.32 eV per atom. Number 7: uncorrected energy -17.3 eV/cell, raw formation energy 0.70 eV per atom. Number 8: uncorrected energy -83.7 eV/cell, raw formation energy -2.17 eV per atom. Number 9: uncorrected energy -23.9 eV/cell, raw formation energy -0.26 eV per atom. Number 10: uncorrected energy -27.8 eV/cell, raw formation energy -1.04 eV per atom. Number 11: uncorrected energy -15.5 eV/cell, raw formation energy 0.93 eV per atom. Number 12: uncorrected energy -19.8 eV/cell, raw formation energy -0.01 eV per atom.